1.
PtCl2F: relaxed, PBE.

Calculated values
uncorrected formation energy = 20 kJ/mol of atoms
E above lowest polymorph = 770 meV per atom
total DFT energy (no corrections) = -2.70 eV per atom
space group = No. 225

Geometry as POSCAR:
```
PtCl2F
1.0
1.198 -0.419 4.193
-2.327 1.963 3.150
-2.432 -2.398 2.744
F Pt Cl
1 1 2
Cartesian
0.000 0.000 0.000
-1.780 -0.427 5.043
-0.890 -0.213 2.522
-2.670 -0.640 7.565
```

2.
PtCl2F2: relaxed, PBE.

Calculated values
uncorrected formation energy = -26 kJ/mol of atoms
E above lowest polymorph = 155 meV per atom
total DFT energy (no corrections) = -2.96 eV per atom
space group = No. 72

Geometry as POSCAR:
```
PtCl2F2
1.0
-2.684 3.791 3.530
-5.299 -0.850 -3.114
2.580 -5.809 3.378
Pt Cl F
2 4 4
Cartesian
-4.662 2.418 1.091
-3.320 0.523 -0.675
-4.157 -1.642 -1.396
-1.246 -1.227 5.190
-2.249 -3.498 2.047
-3.153 0.630 1.747
-0.027 -3.221 3.438
-5.375 0.353 0.356
-1.880 -1.197 -0.143
-3.523 -1.671 3.937
```

3.
Rb2PtCl2F4: relaxed, PBE.

Calculated values
uncorrected formation energy = -177 kJ/mol of atoms
total DFT energy (no corrections) = -3.96 eV per atom
space group = No. 139

Geometry as POSCAR:
```
Rb2PtCl2F4
1.0
6.426 0.169 0.243
-2.936 5.718 -0.243
-2.936 -2.237 5.268
Rb Pt Cl F
2 1 2 4
Cartesian
0.276 3.814 1.256
0.276 -0.164 4.012
0.000 0.000 0.000
-4.262 2.526 3.646
-1.611 0.955 1.378
-2.936 4.083 0.890
-0.882 2.865 4.135
-2.936 -0.601 4.135
1.435 0.785 1.133
```

4.
Rb2PtCl4F2: relaxed, PBE.

Calculated values
uncorrected formation energy = -146 kJ/mol of atoms
total DFT energy (no corrections) = -3.64 eV per atom
space group = No. 139

Geometry as POSCAR:
```
Rb2PtCl4F2
1.0
-1.451 -6.039 -3.226
-0.580 0.499 6.957
-4.284 5.488 -0.716
Rb Pt Cl F
2 1 4 2
Cartesian
-2.232 -1.273 3.426
-4.084 1.221 -0.411
0.000 0.000 0.000
-1.458 1.681 5.138
-4.475 1.391 3.065
-3.407 4.306 1.102
-1.841 -1.443 -0.050
-3.887 4.783 4.986
-0.978 1.204 1.255
```

5.
Rb2PtClF6: relaxed, PBE.

Calculated values
uncorrected formation energy = -170 kJ/mol of atoms
total DFT energy (no corrections) = -3.87 eV per atom
space group = No. 139

Geometry as POSCAR:
```
Rb2PtClF6
1.0
-2.913 5.044 3.130
-2.872 -4.249 4.174
0.885 0.746 6.607
F Rb Pt Cl
6 2 1 1
Cartesian
-0.663 0.603 5.396
-4.238 0.937 8.514
-1.220 0.168 1.540
-4.566 0.627 5.764
-2.905 3.085 3.350
-2.881 -2.290 3.954
-2.461 3.093 6.694
-2.440 -1.553 7.216
0.000 0.000 0.000
-2.893 0.397 3.652
```

6.
RbPtCl2F: relaxed, PBE.

Calculated values
uncorrected formation energy = 14 kJ/mol of atoms
total DFT energy (no corrections) = -2.37 eV per atom
space group = No. 123

Geometry as POSCAR:
```
RbPtCl2F
1.0
5.119 0.000 0.000
0.000 4.833 0.000
0.000 0.000 5.119
F Rb Pt Cl
1 1 1 2
Cartesian
0.000 0.000 0.000
0.000 2.417 0.000
2.560 2.417 2.560
0.000 0.000 2.560
2.560 0.000 0.000
```

7.
Rb2PtCl6F: relaxed, PBE.

Calculated values
uncorrected formation energy = -105 kJ/mol of atoms
total DFT energy (no corrections) = -3.18 eV per atom
space group = No. 139

Geometry as POSCAR:
```
Rb2PtCl6F
1.0
7.659 0.000 0.000
0.000 7.659 0.000
3.829 3.829 4.547
F Rb Pt Cl
1 2 1 6
Cartesian
3.829 3.829 0.000
7.659 3.829 2.273
3.829 7.659 2.273
0.000 0.000 0.000
3.829 3.829 2.140
7.659 7.659 2.407
1.655 1.655 0.000
6.003 6.003 0.000
6.003 1.655 0.000
1.655 6.003 0.000
```

8.
PtS2ClF: relaxed, PBE.

Calculated values
uncorrected formation energy = 84 kJ/mol of atoms
E above lowest polymorph = 458 meV per atom
total DFT energy (no corrections) = -2.73 eV per atom
space group = No. 123

Geometry as POSCAR:
```
PtS2ClF
1.0
-0.447 -3.937 -2.509
-1.853 -1.676 2.960
-4.094 1.542 -1.690
S F Pt Cl
2 1 1 1
Cartesian
-2.047 0.771 -0.845
-0.224 -1.968 -1.254
-0.927 -0.838 1.480
-3.197 -2.035 -0.619
0.000 0.000 0.000
```